*P*
Mg2Ni3 | PBE | relaxed

The space group is R-3m (No. 166, hexagonal axes) and the conventional cell measures 2.7390, 2.7390 and 31.1110 Å, with angles of 90.00, 90.00 and 120.00 degrees. The distinct sites, in fractional coordinates, are Mg at (0.0000, 0.0000, 0.0980), Ni at (0.0000, 0.0000, 0.3022) and Ni at (0.0000, 0.0000, 0.5000).

*Q*
Mg2Ni3 | PBE | relaxed

The space group is Fdd2 (No. 43) and the conventional cell measures 8.892, 22.718 and 2.730 Å, with angles of 90.00, 90.00 and 90.00 degrees. The distinct sites, in fractional coordinates, are Mg at (0.033, 0.192, 0.000), Ni at (0.000, 0.000, 0.181) and Ni at (0.049, 0.091, 0.649).

*R*
Mg2Ni3 | PBE | relaxed

The space group is P-3m1 (No. 164) and the conventional cell measures 4.1126, 4.1126 and 5.1146 Å, with angles of 90.00, 90.00 and 120.00 degrees. The distinct sites, in fractional coordinates, are Mg at (0.3333, 0.6667, 0.3255), Ni at (0.0000, 0.0000, 0.5000) and Ni at (0.3333, 0.6667, 0.8431).

Energies relative to the most stable structure, in kJ/mol of atoms: *P* 4.9; *Q* 0.0; *R* 24.7.